Record 1
A plane-wave DFT calculation with GGA-PBE was carried out for a geometry-optimized Y2ZrFe2 structure.

Calculated values
The value obtained for the volume is 20.79 Å³/atom. For the excess energy over the best structure of this formula in the dataset, the calculation gives 0.0 kJ/mol of formula units. The value obtained for the density of states at the Fermi level is 10.277 states/eV per cell. For the total magnetic moment, the calculation gives 3.6 μB per cell.

Lattice parameters (Å, degrees): 6.7493 6.7493 4.5648 90.00 90.00 90.00
Space group P4/mbm (No. 127)
Symmetry-distinct sites (fractional):
Y  0.1771  0.3229  0.0000 (multiplicity 4)
Zr  0.0000  0.0000  0.5000 (multiplicity 2)
Fe  0.1141  0.6141  0.5000 (multiplicity 4)

Record 2
A plane-wave DFT calculation with GGA-PBE was carried out for a geometry-optimized YZrFe structure.

Calculated values
The value obtained for the volume is 21.51 Å³/atom. For the excess energy over the best structure of this formula in the dataset, the calculation gives 0.9 kJ/mol of formula units. The value obtained for the density of states at the Fermi level is 5.384 states/eV per cell. For the total magnetic moment, the calculation gives 2.1 μB per cell.

Lattice parameters (Å, degrees): 3.3022 3.3022 11.8360 90.00 90.00 90.00
Space group I4mm (No. 107)
Symmetry-distinct sites (fractional):
Y  0.0000  0.0000  0.0000 (multiplicity 2)
Zr  0.0000  0.0000  0.7324 (multiplicity 2)
Fe  0.0000  0.0000  0.3416 (multiplicity 2)

Record 3
A plane-wave DFT calculation with GGA-PBE was carried out for a geometry-optimized Y2ZrFe2 structure.

Calculated values
The value obtained for the volume is 20.96 Å³/atom. For the excess energy over the best structure of this formula in the dataset, the calculation gives 363.8 kJ/mol of formula units. The value obtained for the density of states at the Fermi level is 12.523 states/eV per cell. For the total magnetic moment, the calculation gives 0.0 μB per cell.

Lattice parameters (Å, degrees): 4.6496 4.6496 9.6972 90.00 90.00 90.00
Space group I4/mmm (No. 139)
Symmetry-distinct sites (fractional):
Y  0.0000  0.0000  0.1473 (multiplicity 4)
Zr  0.0000  0.0000  0.5000 (multiplicity 2)
Fe  0.0000  0.5000  0.2500 (multiplicity 4)

Record 4
A plane-wave DFT calculation with GGA-PBE was carried out for a geometry-optimized Y3ZrFe8 structure.

Calculated values
As for the total energy: -8.085 eV/atom. The value obtained for the volume is 15.69 Å³/atom. The value obtained for the density of states at the Fermi level is 38.488 states/eV per cell. For the total magnetic moment, the calculation gives 38.6 μB per cell.

Lattice parameters (Å, degrees): 5.1060 5.1060 25.0133 90.00 90.00 120.00
Space group R3m (No. 160, hexagonal axes)
Symmetry-distinct sites (fractional):
Y  0.0000  0.0000  0.0000 (multiplicity 3)
Y  0.0000  0.0000  0.1253 (multiplicity 3)
Y  0.0000  0.0000  0.6247 (multiplicity 3)
Zr  0.0000  0.0000  0.5001 (multiplicity 3)
Fe  0.0000  0.0000  0.3124 (multiplicity 3)
Fe  0.0000  0.0000  0.8129 (multiplicity 3)
Fe  0.0025  0.5012  0.0643 (multiplicity 9)
Fe  0.1673  0.3345  0.8942 (multiplicity 9)

Record 5
A plane-wave DFT calculation with GGA-PBE was carried out for a geometry-optimized Y3ZrFe structure.

Calculated values
The value obtained for the volume is 32.42 Å³/atom. For the excess energy over the best structure of this formula in the dataset, the calculation gives 384.2 kJ/mol of formula units. The value obtained for the density of states at the Fermi level is 9.595 states/eV per cell. For the total magnetic moment, the calculation gives 2.6 μB per cell.

Lattice parameters (Å, degrees): 5.4527 5.4527 5.4527 90.00 90.00 90.00
Space group Pm-3m (No. 221)
Symmetry-distinct sites (fractional):
Y  0.0000  0.0000  0.5000 (multiplicity 3)
Zr  0.0000  0.0000  0.0000 (multiplicity 1)
Fe  0.5000  0.5000  0.5000 (multiplicity 1)

Record 6
A plane-wave DFT calculation with GGA-PBE was carried out for a geometry-optimized YbFe2 structure.

Calculated values
As for the total energy: -6.037 eV/atom. The value obtained for the volume is 15.61 Å³/atom. The value obtained for the density of states at the Fermi level is 74.638 states/eV per cell. For the total magnetic moment, the calculation gives 29.4 μB per cell.

Lattice parameters (Å, degrees): 7.2086 7.2086 7.2086 90.00 90.00 90.00
Space group Fd-3m (No. 227, origin choice 2)
Symmetry-distinct sites (fractional):
Yb  0.1250  0.1250  0.1250 (multiplicity 8)
Fe  0.0000  0.0000  0.5000 (multiplicity 16)

Record 7
A plane-wave DFT calculation with GGA-PBE was carried out for a geometry-optimized Yb6Fe23 structure.

Calculated values
As for the total energy: -6.963 eV/atom. The value obtained for the volume is 14.78 Å³/atom. The value obtained for the density of states at the Fermi level is 181.871 states/eV per cell. For the total magnetic moment, the calculation gives 213.7 μB per cell.

Lattice parameters (Å, degrees): 11.9673 11.9673 11.9673 90.00 90.00 90.00
Space group Fm-3m (No. 225)
Symmetry-distinct sites (fractional):
Yb  0.0000  0.0000  0.2074 (multiplicity 24)
Fe  0.0000  0.0000  0.5000 (multiplicity 4)
Fe  0.0000  0.2500  0.2500 (multiplicity 24)
Fe  0.1207  0.1207  0.3793 (multiplicity 32)
Fe  0.1758  0.1758  0.1758 (multiplicity 32)

Record 8
A plane-wave DFT calculation with GGA-PBE was carried out for a geometry-optimized YbFe2 structure.

Calculated values
As for the total energy: -6.043 eV/atom. The value obtained for the volume is 15.46 Å³/atom. The value obtained for the density of states at the Fermi level is 14.424 states/eV per cell. For the total magnetic moment, the calculation gives 16.3 μB per cell.

Lattice parameters (Å, degrees): 5.0848 5.0848 8.2875 90.00 90.00 120.00
Space group P6_3/mmc (No. 194)
Symmetry-distinct sites (fractional):
Yb  0.3333  0.6667  0.0645 (multiplicity 4)
Fe  0.0000  0.0000  0.0000 (multiplicity 2)
Fe  0.1645  0.3290  0.7500 (multiplicity 6)

Record 9
A plane-wave DFT calculation with GGA-PBE was carried out for a geometry-optimized Yb2Fe17 structure.

Calculated values
As for the total energy: -7.614 eV/atom. The value obtained for the volume is 12.79 Å³/atom. The value obtained for the density of states at the Fermi level is 73.885 states/eV per cell. For the total magnetic moment, the calculation gives 40.8 μB per cell.

Lattice parameters (Å, degrees): 8.2886 8.2886 8.1684 90.00 90.00 120.00
Space group P6_3/mmc (No. 194)
Symmetry-distinct sites (fractional):
Yb  0.0000  0.0000  0.2500 (multiplicity 2)
Yb  0.3333  0.6667  0.2500 (multiplicity 2)
Fe  0.0000  0.5000  0.0000 (multiplicity 6)
Fe  0.0392  0.3703  0.7500 (multiplicity 12)
Fe  0.1674  0.3347  0.0130 (multiplicity 12)
Fe  0.3333  0.6667  0.6107 (multiplicity 4)

Record 10
A plane-wave DFT calculation with GGA-PBE was carried out for a geometry-optimized Zn2Fe structure.

Calculated values
As for the total energy: -3.666 eV/atom. The value obtained for the volume is 13.22 Å³/atom. The value obtained for the density of states at the Fermi level is 10.695 states/eV per cell. For the total magnetic moment, the calculation gives 18.6 μB per cell.

Lattice parameters (Å, degrees): 3.7756 3.7756 22.2592 90.00 90.00 90.00
Space group I4_1/amd (No. 141, origin choice 2)
Symmetry-distinct sites (fractional):
Zn  0.0000  0.2500  0.1243 (multiplicity 8)
Zn  0.0000  0.2500  0.2901 (multiplicity 8)
Fe  0.0000  0.2500  0.7904 (multiplicity 8)

Record 11
A plane-wave DFT calculation with GGA-PBE was carried out for a geometry-optimized Zn5Fe structure.

Calculated values
As for the total energy: -2.458 eV/atom. The value obtained for the volume is 13.80 Å³/atom. The value obtained for the density of states at the Fermi level is 4.324 states/eV per cell. For the total magnetic moment, the calculation gives 4.0 μB per cell.

Lattice parameters (Å, degrees): 3.8148 11.3263 3.8336 90.00 90.00 90.00
Space group Cmmm (No. 65)
Symmetry-distinct sites (fractional):
Zn  0.0000  0.0000  0.0000 (multiplicity 2)
Zn  0.0000  0.1652  0.5000 (multiplicity 4)
Zn  0.0000  0.3381  0.0000 (multiplicity 4)
Fe  0.0000  0.5000  0.5000 (multiplicity 2)

Record 12
A plane-wave DFT calculation with GGA-PBE was carried out for a geometry-optimized Zn8Fe3 structure.

Calculated values
As for the total energy: -2.883 eV/atom. The value obtained for the volume is 16.55 Å³/atom. The value obtained for the density of states at the Fermi level is 20.773 states/eV per cell. For the total magnetic moment, the calculation gives 18.9 μB per cell.

Lattice parameters (Å, degrees): 8.0339 8.0339 9.7713 90.00 90.00 120.00
Space group R-3m (No. 166, hexagonal axes)
Symmetry-distinct sites (fractional):
Zn  0.0000  0.0000  0.2400 (multiplicity 6)
Zn  0.0122  0.5061  0.7458 (multiplicity 18)
Fe  0.0000  0.5000  0.0000 (multiplicity 9)